1.
## Tb4Y3 (PBE)

Data for Tb4Y3 after structural relaxation.

a b c (Å): 11.265 5.040 7.970
angles (deg): 90.00 98.11 90.00
Space group C2/m (No. 12)
Symmetry-distinct sites (fractional):
Tb1 0.144 0.000 0.429 (multiplicity 4)
Tb2 0.214 0.500 0.143 (multiplicity 4)
Y1 0.000 0.000 0.000 (multiplicity 2)
Y2 0.072 0.500 0.714 (multiplicity 4)

M_tot, Bohr magnetons per cell: 0.0
Energy above the most stable polymorph in this dataset, eV/atom: 0.000

=====

2.
## HgPt2RhO (PBE)

Data for HgPt2RhO after structural relaxation.

a b c (Å): 4.432 4.432 3.999
angles (deg): 90.00 90.00 90.00
Space group P4/mmm (No. 123)
Symmetry-distinct sites (fractional):
Hg1 0.000 0.000 0.000 (multiplicity 1)
Pt1 0.000 0.500 0.500 (multiplicity 2)
Rh1 0.500 0.500 0.000 (multiplicity 1)
O1 0.500 0.500 0.500 (multiplicity 1)

Uncorrected formation energy, eV/atom: 0.36
M_tot, Bohr magnetons per cell: 0.0

=====

3.
## Ba2SiMo (PBE)

Data for Ba2SiMo after structural relaxation.

a b c (Å): 3.777 4.617 7.236
angles (deg): 90.00 90.00 90.00
Space group Pmmm (No. 47)
Symmetry-distinct sites (fractional):
Ba1 0.000 0.000 0.237 (multiplicity 2)
Si1 0.500 0.500 0.000 (multiplicity 1)
Mo1 0.500 0.500 0.500 (multiplicity 1)

Uncorrected formation energy, eV/atom: 0.79
M_tot, Bohr magnetons per cell: 3.7

=====

4.
## Cs3NdGa2Se6 (PBE)

Data for Cs3NdGa2Se6 after structural relaxation.

a b c (Å): 7.8545 7.8545 9.8351
angles (deg): 90.00 90.00 120.00
Space group P-3m1 (No. 164)
Symmetry-distinct sites (fractional):
Cs1 0.0000 0.0000 0.0000 (multiplicity 1)
Cs2 0.3333 0.6667 0.6994 (multiplicity 2)
Nd1 0.0000 0.0000 0.5000 (multiplicity 1)
Ga1 0.3333 0.6667 0.3112 (multiplicity 2)
Se1 0.1624 0.3248 0.2978 (multiplicity 6)

Uncorrected formation energy, eV/atom: -1.09
M_tot, Bohr magnetons per cell: 0.0

=====

5.
## Dy4AuSe5 (PBE)

Data for Dy4AuSe5 after structural relaxation.

a b c (Å): 17.915 4.043 8.771
angles (deg): 90.00 106.98 90.00
Space group C2/m (No. 12)
Symmetry-distinct sites (fractional):
Dy1 0.003 0.000 0.274 (multiplicity 4)
Dy2 0.180 0.500 0.110 (multiplicity 4)
Au1 0.000 0.500 0.000 (multiplicity 2)
Se1 0.000 0.500 0.500 (multiplicity 2)
Se2 0.161 0.000 0.315 (multiplicity 4)
Se3 0.161 0.000 0.865 (multiplicity 4)

Uncorrected formation energy, eV/atom: -1.53
M_tot, Bohr magnetons per cell: 0.0

=====

6.
## BaInCu (PBE)

Data for BaInCu after structural relaxation.

a b c (Å): 3.748 3.748 12.098
angles (deg): 90.00 90.00 90.00
Space group I4mm (No. 107)
Symmetry-distinct sites (fractional):
Ba1 0.000 0.000 0.000 (multiplicity 2)
In1 0.000 0.000 0.715 (multiplicity 2)
Cu1 0.000 0.000 0.299 (multiplicity 2)

Calculated total energy, eV per cell: -17.87
M_tot, Bohr magnetons per cell: 0.0

=====

7.
## LiIrRu3 (PBE)

Data for LiIrRu3 after structural relaxation.

a b c (Å): 4.049 4.049 4.049
angles (deg): 90.00 90.00 90.00
Space group Pm-3m (No. 221)
Symmetry-distinct sites (fractional):
Li1 0.000 0.000 0.000 (multiplicity 1)
Ir1 0.500 0.500 0.500 (multiplicity 1)
Ru1 0.000 0.000 0.500 (multiplicity 3)

M_tot, Bohr magnetons per cell: 0.0
Energy above the most stable polymorph in this dataset, eV/atom: 0.000

=====

8.
## Cd2Ge3O9 (PBE)

Data for Cd2Ge3O9 after structural relaxation.

a b c (Å): 7.163 7.650 8.088
angles (deg): 105.16 113.79 97.77
Space group P-1 (No. 2)
Symmetry-distinct sites (fractional):
Cd1 0.114 0.260 0.390 (multiplicity 2)
Cd2 0.177 0.857 0.104 (multiplicity 2)
Ge1 0.279 0.118 0.816 (multiplicity 2)
Ge2 0.321 0.547 0.845 (multiplicity 2)
Ge3 0.362 0.759 0.541 (multiplicity 2)
O1 0.066 0.603 0.822 (multiplicity 2)
O2 0.093 0.025 0.882 (multiplicity 2)
O3 0.202 0.286 0.704 (multiplicity 2)
O4 0.224 0.919 0.611 (multiplicity 2)
O5 0.237 0.666 0.283 (multiplicity 2)
O6 0.298 0.565 0.610 (multiplicity 2)
O7 0.368 0.133 0.358 (multiplicity 2)
O8 0.388 0.473 0.072 (multiplicity 2)
O9 0.450 0.810 0.006 (multiplicity 2)

Uncorrected formation energy, eV/atom: -1.20
M_tot, Bohr magnetons per cell: 4.1

=====

9.
## ZrSeBrN2 (PBE)

Data for ZrSeBrN2 after structural relaxation.

a b c (Å): 4.057 4.057 4.895
angles (deg): 90.00 90.00 90.00
Space group P4/mmm (No. 123)
Symmetry-distinct sites (fractional):
Zr1 0.000 0.000 0.000 (multiplicity 1)
Se1 0.500 0.500 0.000 (multiplicity 1)
Br1 0.500 0.500 0.500 (multiplicity 1)
N1 0.000 0.500 0.500 (multiplicity 2)

Uncorrected formation energy, eV/atom: 1.52
M_tot, Bohr magnetons per cell: 0.0
Energy above the most stable polymorph in this dataset, eV/atom: 1.011

=====

10.
## Co6TcNi8 (PBE)

Data for Co6TcNi8 after structural relaxation.

a b c (Å): 6.2580 6.2580 15.1065
angles (deg): 90.00 90.00 120.00
Space group R-3 (No. 148, hexagonal axes)
Symmetry-distinct sites (fractional):
Co1 0.0122 0.2421 0.2079 (multiplicity 18)
Tc1 0.0000 0.0000 0.5000 (multiplicity 3)
Ni1 0.0000 0.0000 0.0800 (multiplicity 6)
Ni2 0.0526 0.7970 0.6346 (multiplicity 18)

Calculated total energy, eV per cell: -292.60
M_tot, Bohr magnetons per cell: 41.4

=====

11.
## Li4CaCd2 (PBE)

Data for Li4CaCd2 after structural relaxation.

a b c (Å): 3.832 3.832 20.043
angles (deg): 90.00 90.00 90.00
Space group I4/mmm (No. 139)
Symmetry-distinct sites (fractional):
Li1 0.000 0.000 0.150 (multiplicity 4)
Li2 0.000 0.500 0.250 (multiplicity 4)
Ca1 0.000 0.000 0.000 (multiplicity 2)
Cd1 0.000 0.000 0.383 (multiplicity 4)

M_tot, Bohr magnetons per cell: 0.0
Energy above the most stable polymorph in this dataset, eV/atom: 0.065

=====

12.
## CdFe2Sb2 (PBE)

Data for CdFe2Sb2 after structural relaxation.

a b c (Å): 4.360 4.360 10.514
angles (deg): 90.00 90.00 90.00
Space group I4/mmm (No. 139)
Symmetry-distinct sites (fractional):
Cd1 0.000 0.000 0.000 (multiplicity 2)
Fe1 0.000 0.500 0.250 (multiplicity 4)
Sb1 0.000 0.000 0.365 (multiplicity 4)

Uncorrected formation energy, eV/atom: 0.40
M_tot, Bohr magnetons per cell: 2.3
Energy above the most stable polymorph in this dataset, eV/atom: 0.162